RbNa2CaHf, single point on PBEsol structure, DFT SCAN; E_form = 1531 meV/atom; E_tot = -1.3796 Ry per atom; magnetization = 3.377 μB/cell
1.0
-0.4420 5.9705 0.1025
-5.8167 -0.4073 -1.3614
-1.4466 -0.2143 6.2448
Na Ca Hf Rb
2 1 1 1
Cartesian
-2.9083 -0.2036 -0.6807
-0.2210 2.9853 0.0513
0.0000 0.0000 0.0000
-3.8527 2.6745 2.4929
-0.7233 -0.1072 3.1224

K2HgSb, single point on PBEsol structure, DFT SCAN; ΔE_f (raw) = -0.365 eV per atom; E_tot = -2.2701 Ry per atom; magnetization = 0.000 μB/cell
1.0
3.5588 0.0000 0.0000
0.0000 6.0575 0.0000
0.0000 0.0000 6.0575
Hg K Sb
1 2 1
Cartesian
1.7794 0.0000 0.0000
0.0000 0.0000 3.0287
0.0000 3.0287 0.0000
1.7794 3.0287 3.0287

LaZnCoPt2, single point on PBEsol structure, DFT SCAN; E_form = 1259 meV/atom; E_tot = -3.0578 Ry per atom; magnetization = 1.256 μB/cell
1.0
4.4656 0.0000 0.0000
0.0000 5.1425 0.0000
0.0000 0.0000 5.1425
Zn Co Pt La
1 1 2 1
Cartesian
2.2328 2.5713 2.5713
2.2328 0.0000 0.0000
0.0000 0.0000 2.5713
0.0000 2.5713 0.0000
0.0000 0.0000 0.0000

> Look up the magnetization of the third one.

1.256 μB/cell